MnZnTc2: optimized geometry, PBEsol.

Cell: 3.0737 4.1274 4.8653 Å, 115.10 108.41 90.00°
Last column: magnetic moment on the atom in μB.
Element x y z (fractional)
Mn 0.5000 0.0000 0.0000  1.82
Tc 0.7582 0.7582 0.5164  -0.19
Tc 0.2418 0.2418 0.4836  -0.19
Zn 0.0000 0.5000 0.0000  -0.02

space group: Immm (71)

---

MnZnTc2: optimized geometry, PBEsol.

Cell: 2.6648 2.6648 8.6777 Å, 81.17 81.17 60.00°
Last column: magnetic moment on the atom in μB.
Element x y z (fractional)
Mn 0.2515 0.2515 0.2456  0.97
Tc 0.9972 0.9972 0.0085  -0.12
Tc 0.7482 0.7482 0.7555  0.13
Zn 0.5032 0.5032 0.4904  -0.01

space group: R3m (160)

---

MnZnTc: optimized geometry, PBEsol.

Cell: 2.8708 2.8708 5.0063 Å, 106.66 106.66 90.00°
Element x y z (fractional)
Zn 0.3407 0.3407 0.6814
Mn 0.0087 0.0087 0.0174
Tc 0.6506 0.6506 0.3012

E above lowest polymorph: 0 meV per atom
space group: I4mm (107)

---

MnZnTc2: optimized geometry, PBEsol.

Cell: 2.5983 2.5983 8.3343 Å, 90.00 90.00 107.93°
Last column: magnetic moment on the atom in μB.
Element x y z (fractional)
Mn 0.5000 0.5000 0.2451  2.32
Tc 0.0000 0.0000 0.0129  -0.10
Tc 0.5000 0.5000 0.7523  -0.03
Zn 0.0000 0.0000 0.4898  -0.02

space group: Cmm2 (35)

---

MnZnTc2: optimized geometry, PBEsol.

Cell: 3.1416 4.1095 4.8392 Å, 115.13 108.94 90.00°
Last column: magnetic moment on the atom in μB.
Element x y z (fractional)
Mn 0.7464 0.2464 0.4929  2.54
Tc 0.0024 0.0024 0.0048  -0.07
Tc 0.2567 0.7567 0.5134  -0.07
Zn 0.4944 0.4944 0.9889  -0.01

space group: Imm2 (44)

---

ZrMnTc2: optimized geometry, PBEsol.

Cell: 3.1672 4.3517 4.3517 Å, 90.00 90.00 90.00°
Last column: magnetic moment on the atom in μB.
Element x y z (fractional)
Mn 0.5000 0.0000 0.0000  2.64
Tc 0.0000 0.0000 0.5000  -0.36
Tc 0.0000 0.5000 0.0000  -0.36
Zr 0.5000 0.5000 0.5000  -0.01

space group: P4/mmm (123)

---

Number 1: ΔH_f (0 K) 0.140 eV per atom. Number 2: ΔH_f (0 K) 0.148 eV per atom. Number 3: ΔH_f (0 K) 0.024 eV per atom. Number 4: ΔH_f (0 K) 0.197 eV per atom. Number 5: ΔH_f (0 K) 0.140 eV per atom. Number 6: ΔH_f (0 K) 0.011 eV per atom.